1.
The following is a DFT calculation (PBE) of a geometry-optimized Pm3Pr2Er4 structure.

abc: 10.1638 10.1638 6.1480
angles: 95.48 95.48 70.19
Positions (direct):
Pm 0.1021 0.8979 0.7500
Pm 0.2361 0.4369 0.8965
Pm 0.4369 0.2361 0.3965
Pm 0.5631 0.7639 0.6035
Pm 0.7639 0.5631 0.1035
Pm 0.8979 0.1021 0.2500
Pr 0.0159 0.7362 0.1793
Pr 0.2638 0.9841 0.3207
Pr 0.7362 0.0159 0.6793
Pr 0.9841 0.2638 0.8207
Er 0.0833 0.3574 0.3493
Er 0.3168 0.5898 0.4803
Er 0.3574 0.0833 0.8493
Er 0.4102 0.6832 0.0197
Er 0.5898 0.3168 0.9803
Er 0.6426 0.9167 0.1507
Er 0.6832 0.4102 0.5197
Er 0.9167 0.6426 0.6507

Calculated values
Energy above the most stable polymorph in this dataset: 77 meV per atom
Size of the total moment: 0.000 μB/f.u.
V: 593.4 Å³ per cell
Space-group type: C2/c (15)
Energy of formation from the pure elements: 0.095 eV per atom


2.
The following is a DFT calculation (PBE) of a geometry-optimized Pm3PrEr2 structure.

abc: 10.4299 10.4299 10.4299
angles: 160.71 146.71 38.76
Positions (direct):
Pm 0.0000 0.0000 0.0000
Pm 0.3081 0.8081 0.5000
Pm 0.6919 0.1919 0.5000
Pr 0.5000 0.0000 0.5000
Er 0.1382 0.6382 0.5000
Er 0.8618 0.3618 0.5000

Calculated values
Energy above the most stable polymorph in this dataset: 329 meV per atom
Size of the total moment: 0.000 μB/f.u.
V: 205.5 Å³ per cell
Space-group type: Immm (71)
Energy of formation from the pure elements: 0.331 eV per atom


3.
The following is a DFT calculation (PBE) of a geometry-optimized PmPrEr structure.

abc: 5.7391 5.7391 3.5263
angles: 90.00 90.00 120.00
Positions (direct):
Pm 0.0000 0.0000 0.0000
Pr 0.6667 0.3333 0.5000
Er 0.3333 0.6667 0.0000

Calculated values
Energy above the most stable polymorph in this dataset: 45 meV per atom
Size of the total moment: 0.000 μB/f.u.
V: 100.6 Å³ per cell
Space-group type: P-6m2 (187)
Energy of formation from the pure elements: 0.066 eV per atom


4.
The following is a DFT calculation (PBE) of a geometry-optimized Pm7Pr4Er structure.

abc: 6.8255 6.8255 12.9972
angles: 114.40 114.40 53.14
Positions (direct):
Pm 0.0000 0.0000 0.0000
Pm 0.2107 0.2107 0.9231
Pm 0.2565 0.2565 0.6884
Pm 0.3657 0.3657 0.4972
Pm 0.6343 0.6343 0.5028
Pm 0.7435 0.7435 0.3116
Pm 0.7893 0.7893 0.0769
Pr 0.0566 0.0566 0.3313
Pr 0.3645 0.3645 0.2220
Pr 0.6355 0.6355 0.7780
Pr 0.9434 0.9434 0.6687
Er 0.5000 0.5000 0.0000

Calculated values
Energy above the most stable polymorph in this dataset: 228 meV per atom
Size of the total moment: 0.000 μB/f.u.
V: 429.7 Å³ per cell
Space-group type: C2/m (12)
Energy of formation from the pure elements: 0.244 eV per atom


5.
The following is a DFT calculation (PBE) of a geometry-optimized PmPr2Er structure.

abc: 3.6518 3.6518 10.2870
angles: 90.00 90.00 90.00
Positions (direct):
Pm 0.0000 0.0000 0.0000
Pr 0.5000 0.5000 0.2546
Pr 0.5000 0.5000 0.7454
Er 0.0000 0.0000 0.5000

Calculated values
Energy above the most stable polymorph in this dataset: 5 meV per atom
Size of the total moment: 0.000 μB/f.u.
V: 137.2 Å³ per cell
Space-group type: P4/mmm (123)
Energy of formation from the pure elements: 0.020 eV per atom


6.
The following is a DFT calculation (PBE) of a geometry-optimized PmPr10Er4 structure.

abc: 8.9693 8.9693 8.9693
angles: 111.47 111.47 105.54
Positions (direct):
Pm 0.0000 0.0000 0.0000
Pr 0.0506 0.3961 0.1088
Pr 0.0582 0.9494 0.3455
Pr 0.2500 0.7500 0.5000
Pr 0.2873 0.9418 0.8912
Pr 0.3961 0.2873 0.3455
Pr 0.6039 0.7127 0.6545
Pr 0.7127 0.0582 0.1088
Pr 0.7500 0.2500 0.5000
Pr 0.9418 0.0506 0.6545
Pr 0.9494 0.6039 0.8912
Er 0.2259 0.4450 0.6709
Er 0.4450 0.7741 0.2191
Er 0.5550 0.2259 0.7809
Er 0.7741 0.5550 0.3291

Calculated values
Size of the total moment: 0.000 μB/f.u.
V: 553.5 Å³ per cell
Space-group type: I4/m (87)
Energy of formation from the pure elements: 0.431 eV per atom


7.
The following is a DFT calculation (PBE) of a geometry-optimized Pm3Pr8Er2 structure.

abc: 8.9491 8.9491 6.2597
angles: 106.94 106.94 83.96
Positions (direct):
Pm 0.0000 0.0000 0.0000
Pm 0.2460 0.7540 0.5000
Pm 0.7540 0.2460 0.5000
Pr 0.0822 0.5720 0.8288
Pr 0.1517 0.1517 0.5501
Pr 0.4280 0.9178 0.1712
Pr 0.4431 0.4431 0.7104
Pr 0.5569 0.5569 0.2896
Pr 0.5720 0.0822 0.8288
Pr 0.8483 0.8483 0.4499
Pr 0.9178 0.4280 0.1712
Er 0.2888 0.2888 0.1417
Er 0.7112 0.7112 0.8583

Calculated values
Energy above the most stable polymorph in this dataset: 0 meV per atom
Size of the total moment: 0.000 μB/f.u.
V: 458.7 Å³ per cell
Space-group type: C2/m (12)
Energy of formation from the pure elements: 0.152 eV per atom


8.
The following is a DFT calculation (PBE) of a geometry-optimized Pm2Pr5Er12 structure.

abc: 6.1916 9.4875 10.7074
angles: 101.09 95.58 90.03
Positions (direct):
Pm 0.0807 0.3179 0.4735
Pm 0.9193 0.6821 0.5265
Pr 0.2376 0.9466 0.4205
Pr 0.3411 0.3682 0.0531
Pr 0.5000 0.0000 0.0000
Pr 0.6589 0.6318 0.9469
Pr 0.7624 0.0534 0.5795
Er 0.0250 0.1055 0.1573
Er 0.1316 0.5260 0.7891
Er 0.1825 0.7368 0.1046
Er 0.2883 0.1592 0.7381
Er 0.3962 0.5785 0.3684
Er 0.4447 0.7874 0.6841
Er 0.5553 0.2126 0.3159
Er 0.6038 0.4215 0.6316
Er 0.7117 0.8408 0.2619
Er 0.8175 0.2632 0.8954
Er 0.8684 0.4740 0.2109
Er 0.9750 0.8945 0.8427

Calculated values
Energy above the most stable polymorph in this dataset: 0 meV per atom
Size of the total moment: 0.000 μB/f.u.
V: 614.2 Å³ per cell
Space-group type: P-1 (2)
Energy of formation from the pure elements: 0.022 eV per atom